Entry 1:
# TiReW3

A geometry-optimized TiReW3 structure (PBE, Alexandria via LeMat-Bulk).

a b c (Å): 6.8961 6.8961 7.7251
angles (deg): 112.00 112.00 80.45
Closest atoms and distances in Å follow each position.
Fractional positions:
Ti 0.1230 0.8770 0.7500  4 Re 2.71-2.74, 4 W 2.75-2.79
Ti 0.3729 0.6271 0.2500  2 Re 2.72, 6 W 2.74-2.80
Ti 0.6271 0.3729 0.7500  2 Re 2.72, 6 W 2.74-2.80
Ti 0.8770 0.1230 0.2500  4 Re 2.71-2.74, 4 W 2.75-2.79
Re 0.0245 0.7748 0.3491  5 W 2.71-2.73, 3 Ti 2.71-2.74
Re 0.2252 0.9755 0.1509  5 W 2.71-2.73, 3 Ti 2.71-2.74
Re 0.7748 0.0245 0.8491  5 W 2.71-2.73, 3 Ti 2.71-2.74
Re 0.9755 0.2252 0.6509  5 W 2.71-2.73, 3 Ti 2.71-2.74
W 0.0703 0.3199 0.0473  4 W 2.71-2.77, 3 Re 2.71-2.72, 1 Ti 2.80
W 0.1788 0.4291 0.4532  6 W 2.71-2.76, 1 Re 2.72, 1 Ti 2.79
W 0.2733 0.5234 0.8492  4 W 2.71-2.73, 1 Re 2.73, 3 Ti 2.74-2.75
W 0.3199 0.0703 0.5473  4 W 2.71-2.77, 3 Re 2.71-2.72, 1 Ti 2.80
W 0.4291 0.1788 0.9532  6 W 2.71-2.76, 1 Re 2.72, 1 Ti 2.79
W 0.4766 0.7267 0.6508  4 W 2.71-2.73, 1 Re 2.73, 3 Ti 2.74-2.75
W 0.5234 0.2733 0.3492  4 W 2.71-2.73, 1 Re 2.73, 3 Ti 2.74-2.75
W 0.5709 0.8212 0.0468  6 W 2.71-2.76, 1 Re 2.72, 1 Ti 2.79
W 0.6801 0.9297 0.4527  4 W 2.71-2.77, 3 Re 2.71-2.72, 1 Ti 2.80
W 0.7267 0.4766 0.1508  4 W 2.71-2.73, 1 Re 2.73, 3 Ti 2.74-2.75
W 0.8212 0.5709 0.5468  6 W 2.71-2.76, 1 Re 2.72, 1 Ti 2.79
W 0.9297 0.6801 0.9527  4 W 2.71-2.77, 3 Re 2.71-2.72, 1 Ti 2.80

Output
crystal system	monoclinic
uncorrected energy	-12.022	eV per atom
size of the total moment	0.00	Bohr magnetons per cell
SG	C2/c
E_form	-17.5	kJ/mol of atoms
V	316	Å³/cell
DOS(E_F)	2.8	states/eV/f.u.

Entry 2:
# Ti2Re3W2

A geometry-optimized Ti2Re3W2 structure (PBE, Alexandria via LeMat-Bulk).

a b c (Å): 9.5393 9.5393 2.6162
angles (deg): 90.00 90.00 152.33
Closest atoms and distances in Å follow each position.
Fractional positions:
Ti 0.0683 0.9317 0.0000  3 Ti 2.53-2.62, 1 W 2.62
Ti 0.9317 0.0683 0.0000  3 Ti 2.53-2.62, 1 W 2.62
Re 0.3533 0.6467 0.5000  3 Re 2.62-2.72, 4 W 2.88
Re 0.5000 0.5000 0.5000  4 Re 2.62-2.72, 8 Ti 2.92
Re 0.6467 0.3533 0.5000  3 Re 2.62-2.72, 4 W 2.88
W 0.2096 0.7904 0.0000  4 W 2.62-2.73, 1 Ti 2.62, 4 Re 2.88
W 0.7904 0.2096 0.0000  4 W 2.62-2.73, 1 Ti 2.62, 4 Re 2.88

Output
crystal system	orthorhombic
uncorrected energy	-11.094	eV per atom
size of the total moment	0.00	Bohr magnetons per cell
SG	Cmmm
E_form	19.0	kJ/mol of atoms
V	111	Å³/cell
DOS(E_F)	7.2	states/eV/f.u.

Entry 3:
# Ti2ReW6

A geometry-optimized Ti2ReW6 structure (PBE, Alexandria via LeMat-Bulk).

a b c (Å): 4.4622 5.3992 6.9118
angles (deg): 78.19 71.19 89.93
Closest atoms and distances in Å follow each position.
Fractional positions:
Ti 0.1050 0.0052 0.2897  6 W 2.66-2.92, 1 Ti 2.74, 1 Re 2.78
Ti 0.8950 0.9948 0.7103  6 W 2.66-2.92, 1 Ti 2.74, 1 Re 2.78
Re 0.0000 0.5000 0.5000  4 W 2.63-2.64, 2 Ti 2.78
W 0.2906 0.8354 0.9194  3 Ti 2.66-2.77, 5 W 2.67-2.78
W 0.3094 0.3528 0.8799  6 W 2.67-2.87, 1 Ti 2.92
W 0.4935 0.7558 0.5128  5 W 2.61-2.87, 2 Re 2.63-2.64, 2 Ti 2.84
W 0.5065 0.2442 0.4872  5 W 2.61-2.87, 2 Re 2.63-2.64, 2 Ti 2.84
W 0.6906 0.6472 0.1201  6 W 2.67-2.87, 1 Ti 2.92
W 0.7094 0.1646 0.0806  3 Ti 2.66-2.77, 5 W 2.67-2.78

Output
crystal system	triclinic
uncorrected energy	-11.352	eV per atom
size of the total moment	0.00	Bohr magnetons per cell
SG	P-1
E_form	40.7	kJ/mol of atoms
V	154	Å³/cell
DOS(E_F)	9.2	states/eV/f.u.